(1)
# CdGa3As (GGA-PBE, optimized geometry)
# Final energy (eV/cell): -11.70
# V (Å³/cell): 132.3
# Energy relative to the lowest polymorph listed for this composition (eV per formula unit): 1.220
# Total moment (μB/f.u.): 0.0
data_CdGa3As
_chemical_formula_sum 'Cd1 Ga3 As1'
_cell_length_a 5.0953
_cell_length_b 5.0953
_cell_length_c 5.0953
_cell_angle_alpha 90.00
_cell_angle_beta 90.00
_cell_angle_gamma 90.00
_symmetry_space_group_name_H-M 'P m -3 m'
_symmetry_Int_Tables_number 221
_symmetry_space_group_name_Hall '-P 4 2 3'
loop_
_atom_site_label
_atom_site_type_symbol
_atom_site_fract_x
_atom_site_fract_y
_atom_site_fract_z
Cd1 Cd 0.0000 0.0000 0.0000
Ga1 Ga 0.0000 0.0000 0.5000
As1 As 0.5000 0.5000 0.5000

=====

(2)
# Cd2GaAs2 (GGA-PBE, optimized geometry)
# Final energy (eV/cell): -27.22
# V (Å³/cell): 243.2
# Energy relative to the lowest polymorph listed for this composition (eV per formula unit): 0.000
# Total moment (μB/f.u.): 0.0
data_Cd2GaAs2
_chemical_formula_sum 'Cd4 Ga2 As4'
_cell_length_a 4.4723
_cell_length_b 4.4723
_cell_length_c 12.1595
_cell_angle_alpha 90.00
_cell_angle_beta 90.00
_cell_angle_gamma 90.00
_symmetry_space_group_name_H-M 'I 4/m m m'
_symmetry_Int_Tables_number 139
_symmetry_space_group_name_Hall '-I 4 2'
loop_
_atom_site_label
_atom_site_type_symbol
_atom_site_fract_x
_atom_site_fract_y
_atom_site_fract_z
Cd1 Cd 0.0000 0.5000 0.2500
Ga1 Ga 0.0000 0.0000 0.0000
As1 As 0.0000 0.0000 0.3898

=====

(3)
# Cd2GaAs (GGA-PBE, optimized geometry)
# Final energy (eV/cell): -36.02
# V (Å³/cell): 367.0
# Energy relative to the lowest polymorph listed for this composition (eV per formula unit): 0.020
# Total moment (μB/f.u.): 0.0
data_Cd2GaAs
_chemical_formula_sum 'Cd8 Ga4 As4'
_cell_length_a 8.0615
_cell_length_b 8.0615
_cell_length_c 5.6476
_cell_angle_alpha 90.00
_cell_angle_beta 90.00
_cell_angle_gamma 90.00
_symmetry_space_group_name_H-M 'I -4 2 d'
_symmetry_Int_Tables_number 122
_symmetry_space_group_name_Hall 'I -4 2bw'
loop_
_atom_site_label
_atom_site_type_symbol
_atom_site_fract_x
_atom_site_fract_y
_atom_site_fract_z
Cd1 Cd 0.2230 0.2500 0.1250
Ga1 Ga 0.0000 0.0000 0.5000
As1 As 0.0000 0.0000 0.0000